Compound: KHfO2F
Source: Alexandria via LeMat-Bulk
Functional: PBE-GGA
Structure: optimized geometry

Summary:
The calculation puts the formation energy without anion corrections at -12.9 kJ per mole of atoms. The total energy comes out at -4.702 eV per atom.

The structure in POSCAR format:
```
KHfO2F
1.0
4.379 0.000 0.000
0.000 4.379 0.000
0.000 0.000 4.179
K Hf O F
1 1 2 1
direct
0.000 0.000 0.000
0.500 0.500 0.500
0.000 0.500 0.000
0.500 0.000 0.000
0.000 0.000 0.500
```